[1]
LaInMo: relaxed, PBE.

Values from the calculation:
V (Å³ per atom): 24.5
Offset from the most stable computed form (meV per atom): 345
Raw total energy (Ha/atom): -0.216
Density (g cm⁻³): 7.89
Calculated formation energy (kJ per mole of atoms): 28

Cell lengths 3.747, 3.747, 10.484 Å; angles 90.00, 90.00, 90.00 degrees
Space group I4mm (No. 107)
Asymmetric unit:
La 0.000 0.000 0.000 [2 per cell]
In 0.000 0.000 0.298 [2 per cell]
Mo 0.000 0.000 0.698 [2 per cell]


[2]
LaIn2Mo: relaxed, PBE.

Values from the calculation:
V (Å³ per atom): 24.3
Offset from the most stable computed form (meV per atom): 78
Raw total energy (Ha/atom): -0.189
Density (g cm⁻³): 7.92
Calculated formation energy (kJ per mole of atoms): 16

Cell lengths 7.303, 7.303, 7.303 Å; angles 90.00, 90.00, 90.00 degrees
Space group Fm-3m (No. 225)
Asymmetric unit:
La 0.000 0.000 0.000 [4 per cell]
In 0.250 0.250 0.250 [8 per cell]
Mo 0.000 0.000 0.500 [4 per cell]


[3]
La3InMo: relaxed, PBE.

Values from the calculation:
V (Å³ per atom): 32.9
Offset from the most stable computed form (meV per atom): 0
Raw total energy (Ha/atom): -0.205
Density (g cm⁻³): 6.34
Calculated formation energy (kJ per mole of atoms): 8

Cell lengths 5.479, 5.479, 5.479 Å; angles 90.00, 90.00, 90.00 degrees
Space group Pm-3m (No. 221)
Asymmetric unit:
La 0.000 0.000 0.500 [3 per cell]
In 0.500 0.500 0.500 [1 per cell]
Mo 0.000 0.000 0.000 [1 per cell]